K2MnNi: relaxed, GGA-PBE.

It has space group C2/m (No. 12), with a = 5.776 Å, b = 8.253 Å, c = 4.715 Å, α = 90.00°, β = 90.30° and γ = 90.00°. The inequivalent atoms are K at (0.250, 0.250, 0.000), Mn at (0.000, 0.000, 0.500) and Ni at (0.000, 0.500, 0.500).

For the formation energy, the calculation gives 1.023 eV/atom. As for the density of states at the Fermi level: 4.23 states/eV per cell.